SrCaCr2 | the Alexandria database | SCAN | single point on PBEsol structure; N(E_F) = 0.79 states/eV per atom; total energy = -16.690 eV/atom; M_tot = 10.08 μB/cell; symmetry = P4/mmm
1.0
3.8416 0.0000 0.0000
0.0000 3.8416 0.0000
0.0000 0.0000 7.6050
Sr Ca Cr
1 1 2
Cartesian
0.0000 0.0000 0.0000
0.0000 0.0000 3.8025
1.9208 1.9208 2.0898
1.9208 1.9208 5.5152